! NdHoFe2Ge2C (PBE-GGA, relaxed); values from VASP
! **Crystal system**: monoclinic
! **Symmetry**: Cm (8)
&SYSTEM
  ibrav = 0, nat = 7, ntyp = 5
/
ATOMIC_SPECIES
Nd 144.24 Nd.upf
Ho 164.93 Ho.upf
Fe 55.84 Fe.upf
Ge 72.64 Ge.upf
C 12.01 C.upf
CELL_PARAMETERS angstrom
5.3975 -2.0049 0.0000
5.3975 2.0049 0.0000
-4.3439 0.0000 5.3890
ATOMIC_POSITIONS crystal
Nd 0.0000 0.0000 0.0000
Ho 0.8852 0.8852 0.4195
Fe 0.2443 0.2443 0.6151
Fe 0.6340 0.6340 0.7907
Ge 0.2748 0.2748 0.9896
Ge 0.6070 0.6070 0.4239
C 0.4370 0.4370 0.6948

=====

! CsNaAgP (PBE-GGA, relaxed); values from VASP
! **Crystal system**: orthorhombic
! **Symmetry**: Amm2 (38)
! **Offset from the most stable computed form**: 87 meV per atom
&SYSTEM
  ibrav = 0, nat = 8, ntyp = 4
/
ATOMIC_SPECIES
Cs 132.91 Cs.upf
Na 22.99 Na.upf
Ag 107.87 Ag.upf
P 30.97 P.upf
CELL_PARAMETERS angstrom
5.7884 0.0000 0.0000
0.0000 5.0774 4.1541
0.0000 -5.0774 4.1541
ATOMIC_POSITIONS crystal
Cs 0.0000 0.1742 0.8258
Cs 0.0000 0.8258 0.1742
Na 0.5000 0.5130 0.8482
Na 0.5000 0.8482 0.5130
Ag 0.2487 0.3927 0.3927
Ag 0.7513 0.3927 0.3927
P 0.0000 0.6368 0.6368
P 0.5000 0.1583 0.1583

=====

! BeCuPbAu (PBE-GGA, relaxed); values from VASP
! **Crystal system**: cubic
! **Symmetry**: F-43m (216)
! **Offset from the most stable computed form**: 0 meV per atom
&SYSTEM
  ibrav = 0, nat = 4, ntyp = 4
/
ATOMIC_SPECIES
Be 9.01 Be.upf
Cu 63.55 Cu.upf
Pb 207.20 Pb.upf
Au 196.97 Au.upf
CELL_PARAMETERS angstrom
0.0000 3.2366 3.2366
3.2366 0.0000 3.2366
3.2366 3.2366 0.0000
ATOMIC_POSITIONS crystal
Be 0.0000 0.0000 0.0000
Cu 0.5000 0.5000 0.5000
Pb 0.7500 0.7500 0.7500
Au 0.2500 0.2500 0.2500

=====

E list, top to bottom, in eV per atom: -6.923; -2.821; -3.258